Below is a geometry-optimized Ho6ErTm5 structure, with properties calculated at the PBE level.

Summary:
- Total magnetic moment: 0.00 μB/f.u.
- Symmetry: No. 65
- ΔH_f (0 K): 0.023 eV/atom
- DOS(E_F): 15.438 states/eV per cell

CIF file:
```
data_Ho6ErTm5
_space_group_name_H-M_alt 'P 1'
_space_group_IT_number 1
_space_group_name_Hall 'P 1'
_cell_length_a 7.8404
_cell_length_b 7.8404
_cell_length_c 9.8879
_cell_angle_alpha 90.00
_cell_angle_beta 90.00
_cell_angle_gamma 143.24
loop_
_atom_site_label
_atom_site_fract_x
_atom_site_fract_y
_atom_site_fract_z
Ho1 0.0000 0.0000 0.2502
Ho2 0.0000 0.0000 0.7498
Ho3 0.3333 0.6667 0.2502
Ho4 0.3333 0.6667 0.7498
Ho5 0.6667 0.3333 0.2502
Ho6 0.6667 0.3333 0.7498
Er1 0.5000 0.5000 0.0000
Tm1 0.1668 0.8332 0.0000
Tm2 0.1666 0.8334 0.5000
Tm3 0.5000 0.5000 0.5000
Tm4 0.8332 0.1668 0.0000
Tm5 0.8334 0.1666 0.5000
```